# SrTlAsSe2 GGA-PBE relaxed
data_SrTlAsSe2
_space_group_name_H-M_alt 'P 1'
_space_group_IT_number 1
_space_group_name_Hall 'P 1'
_cell_length_a 5.860
_cell_length_b 5.860
_cell_length_c 5.946
_cell_angle_alpha 90.00
_cell_angle_beta 90.00
_cell_angle_gamma 90.00
loop_
_atom_site_label
_atom_site_type_symbol
_atom_site_fract_x
_atom_site_fract_y
_atom_site_fract_z
Tl1 Tl 0.500 0.500 0.500
Se1 Se 0.500 0.000 0.000
Se2 Se 0.000 0.500 0.000
As1 As 0.000 0.000 0.500
Sr1 Sr 0.000 0.000 0.000
# Density = 4.269 Mg/m³
# SG = P4/mmm, No. 123
# DFT total energy = -15.21 eV per formula unit
# E_form (uncorrected) = 0.46 eV/f.u.
# Excess energy over the best structure of this formula in the dataset = 1.26 eV per formula unit


# ScAg2Rh2 GGA-PBE relaxed
data_ScAg2Rh2
_space_group_name_H-M_alt 'P 1'
_space_group_IT_number 1
_space_group_name_Hall 'P 1'
_cell_length_a 6.576
_cell_length_b 6.576
_cell_length_c 4.126
_cell_angle_alpha 90.00
_cell_angle_beta 90.00
_cell_angle_gamma 90.00
loop_
_atom_site_label
_atom_site_type_symbol
_atom_site_fract_x
_atom_site_fract_y
_atom_site_fract_z
Ag1 Ag 0.841 0.341 0.500
Ag2 Ag 0.341 0.159 0.500
Ag3 Ag 0.659 0.841 0.500
Ag4 Ag 0.159 0.659 0.500
Rh1 Rh 0.860 0.640 0.000
Rh2 Rh 0.140 0.360 0.000
Rh3 Rh 0.640 0.140 0.000
Rh4 Rh 0.360 0.860 0.000
Sc1 Sc 0.000 0.000 0.000
Sc2 Sc 0.500 0.500 0.000
# Density = 8.685 Mg/m³
# SG = P4/mbm, No. 127
# Calculated formation energy = -0.43 eV/f.u.
# DFT total energy = -27.16 eV per formula unit
# Excess energy over the best structure of this formula in the dataset = 0.00 eV per formula unit


# YTmMg2 GGA-PBE relaxed
data_YTmMg2
_space_group_name_H-M_alt 'P 1'
_space_group_IT_number 1
_space_group_name_Hall 'P 1'
_cell_length_a 5.369
_cell_length_b 6.538
_cell_length_c 6.538
_cell_angle_alpha 109.84
_cell_angle_beta 90.00
_cell_angle_gamma 90.00
loop_
_atom_site_label
_atom_site_type_symbol
_atom_site_fract_x
_atom_site_fract_y
_atom_site_fract_z
Mg1 Mg 0.250 0.876 0.627
Mg2 Mg 0.250 0.373 0.124
Mg3 Mg 0.750 0.627 0.876
Mg4 Mg 0.750 0.124 0.373
Y1 Y 0.250 0.872 0.128
Y2 Y 0.750 0.128 0.872
Tm1 Tm 0.250 0.378 0.622
Tm2 Tm 0.750 0.622 0.378
# Density = 4.714 Mg/m³
# SG = Cmcm, No. 63
# Calculated formation energy = -0.34 eV/f.u.
# DFT total energy = -14.46 eV per formula unit
# Excess energy over the best structure of this formula in the dataset = 0.01 eV per formula unit


# CsB2PtAu GGA-PBE relaxed
data_CsB2PtAu
_space_group_name_H-M_alt 'P 1'
_space_group_IT_number 1
_space_group_name_Hall 'P 1'
_cell_length_a 4.139
_cell_length_b 7.363
_cell_length_c 4.139
_cell_angle_alpha 90.00
_cell_angle_beta 90.00
_cell_angle_gamma 90.00
loop_
_atom_site_label
_atom_site_type_symbol
_atom_site_fract_x
_atom_site_fract_y
_atom_site_fract_z
Cs1 Cs 0.000 0.500 0.000
B1 B 0.000 0.000 0.500
B2 B 0.500 0.000 0.000
Pt1 Pt 0.500 0.500 0.500
Au1 Au 0.000 0.000 0.000
# Density = 7.197 Mg/m³
# SG = P4/mmm, No. 123
# Calculated formation energy = 6.86 eV/f.u.
# DFT total energy = -16.67 eV per formula unit


# Ti5Zn2Ge GGA-PBE relaxed
data_Ti5Zn2Ge
_space_group_name_H-M_alt 'P 1'
_space_group_IT_number 1
_space_group_name_Hall 'P 1'
_cell_length_a 6.840
_cell_length_b 6.840
_cell_length_c 7.394
_cell_angle_alpha 117.55
_cell_angle_beta 117.55
_cell_angle_gamma 90.00
loop_
_atom_site_label
_atom_site_type_symbol
_atom_site_fract_x
_atom_site_fract_y
_atom_site_fract_z
Zn1 Zn 0.134 0.366 0.000
Zn2 Zn 0.866 0.634 0.000
Zn3 Zn 0.634 0.134 0.000
Zn4 Zn 0.366 0.866 0.000
Ti1 Ti 0.181 0.002 0.683
Ti2 Ti 0.500 0.500 0.000
Ti3 Ti 0.681 0.181 0.683
Ti4 Ti 0.319 0.819 0.317
Ti5 Ti 0.498 0.319 0.317
Ti6 Ti 0.998 0.498 0.317
Ti7 Ti 0.002 0.502 0.683
Ti8 Ti 0.819 0.998 0.317
Ti9 Ti 0.502 0.681 0.683
Ti10 Ti 0.000 0.000 0.000
Ge1 Ge 0.250 0.250 0.500
Ge2 Ge 0.750 0.750 0.500
# Density = 5.620 Mg/m³
# SG = I4/mcm, No. 140
# Calculated formation energy = -1.92 eV/f.u.
# DFT total energy = -48.56 eV per formula unit


# Mg3Ga4Co2 GGA-PBE relaxed
data_Mg3Ga4Co2
_space_group_name_H-M_alt 'P 1'
_space_group_IT_number 1
_space_group_name_Hall 'P 1'
_cell_length_a 4.211
_cell_length_b 5.056
_cell_length_c 7.942
_cell_angle_alpha 96.99
_cell_angle_beta 90.00
_cell_angle_gamma 114.61
loop_
_atom_site_label
_atom_site_type_symbol
_atom_site_fract_x
_atom_site_fract_y
_atom_site_fract_z
Ga1 Ga 0.289 0.577 0.906
Ga2 Ga 0.100 0.199 0.374
Ga3 Ga 0.711 0.423 0.094
Ga4 Ga 0.900 0.801 0.626
Mg1 Mg 0.603 0.206 0.697
Mg2 Mg 0.397 0.794 0.303
Mg3 Mg 0.000 0.000 0.000
Co1 Co 0.711 0.423 0.390
Co2 Co 0.289 0.577 0.610
# Density = 5.119 Mg/m³
# SG = C2/m, No. 12
# Calculated formation energy = -1.32 eV/f.u.
# DFT total energy = -32.42 eV per formula unit


# Cs2RhAu GGA-PBE relaxed
data_Cs2RhAu
_space_group_name_H-M_alt 'P 1'
_space_group_IT_number 1
_space_group_name_Hall 'P 1'
_cell_length_a 8.888
_cell_length_b 8.888
_cell_length_c 8.888
_cell_angle_alpha 95.19
_cell_angle_beta 95.19
_cell_angle_gamma 144.99
loop_
_atom_site_label
_atom_site_type_symbol
_atom_site_fract_x
_atom_site_fract_y
_atom_site_fract_z
Cs1 Cs 0.125 0.380 0.755
Cs2 Cs 0.630 0.875 0.255
Cs3 Cs 0.625 0.370 0.245
Cs4 Cs 0.620 0.375 0.745
Au1 Au 0.000 0.000 0.000
Au2 Au 0.250 0.750 0.500
Rh1 Rh 0.750 0.250 0.500
Rh2 Rh 0.500 0.500 0.000
# Density = 4.891 Mg/m³
# SG = I-42d, No. 122
# Calculated formation energy = 1.18 eV/f.u.
# DFT total energy = -11.16 eV per formula unit
# Excess energy over the best structure of this formula in the dataset = 0.00 eV per formula unit


# BaTcCl2 GGA-PBE relaxed
data_BaTcCl2
_space_group_name_H-M_alt 'P 1'
_space_group_IT_number 1
_space_group_name_Hall 'P 1'
_cell_length_a 4.671
_cell_length_b 4.126
_cell_length_c 6.138
_cell_angle_alpha 70.47
_cell_angle_beta 90.00
_cell_angle_gamma 90.00
loop_
_atom_site_label
_atom_site_type_symbol
_atom_site_fract_x
_atom_site_fract_y
_atom_site_fract_z
Tc1 Tc 0.000 0.341 0.442
Cl1 Cl 0.500 0.383 0.357
Cl2 Cl 0.000 0.102 0.922
Ba1 Ba 0.500 0.673 0.779
# Density = 4.561 Mg/m³
# SG = Pm, No. 6
# DFT total energy = -18.09 eV per formula unit
# E_form (uncorrected) = -2.11 eV/f.u.
# Excess energy over the best structure of this formula in the dataset = 0.24 eV per formula unit


# SrIn2Os GGA-PBE relaxed
data_SrIn2Os
_space_group_name_H-M_alt 'P 1'
_space_group_IT_number 1
_space_group_name_Hall 'P 1'
_cell_length_a 5.003
_cell_length_b 5.003
_cell_length_c 5.003
_cell_angle_alpha 60.00
_cell_angle_beta 60.00
_cell_angle_gamma 60.00
loop_
_atom_site_label
_atom_site_type_symbol
_atom_site_fract_x
_atom_site_fract_y
_atom_site_fract_z
Os1 Os 0.500 0.500 0.500
In1 In 0.750 0.750 0.750
In2 In 0.250 0.250 0.250
Sr1 Sr 0.000 0.000 0.000
# Density = 9.520 Mg/m³
# SG = Fm-3m, No. 225
# Calculated formation energy = 1.24 eV/f.u.
# DFT total energy = -17.15 eV per formula unit


# Pa3Si4Rh2 GGA-PBE relaxed
data_Pa3Si4Rh2
_space_group_name_H-M_alt 'P 1'
_space_group_IT_number 1
_space_group_name_Hall 'P 1'
_cell_length_a 4.149
_cell_length_b 5.671
_cell_length_c 8.064
_cell_angle_alpha 103.18
_cell_angle_beta 90.00
_cell_angle_gamma 111.46
loop_
_atom_site_label
_atom_site_type_symbol
_atom_site_fract_x
_atom_site_fract_y
_atom_site_fract_z
Pa1 Pa 0.667 0.335 0.667
Pa2 Pa 0.333 0.665 0.333
Pa3 Pa 0.000 0.000 0.000
Si1 Si 0.054 0.108 0.390
Si2 Si 0.276 0.552 0.944
Si3 Si 0.946 0.892 0.610
Si4 Si 0.724 0.448 0.056
Rh1 Rh 0.390 0.780 0.721
Rh2 Rh 0.610 0.220 0.279
# Density = 9.809 Mg/m³
# SG = C2/m, No. 12
# DFT total energy = -72.15 eV per formula unit
# E_form (uncorrected) = -7.27 eV/f.u.
# Excess energy over the best structure of this formula in the dataset = 0.00 eV per formula unit